# 1
Compound: Y2BPbO
Source: Alexandria via LeMat-Bulk
Functional: meta-GGA SCAN
Structure: PBEsol geometry

## Properties
DFT total energy: -147.06 eV per cell
DOS at the Fermi energy: 3.17 states/eV/f.u.
Formation energy without anion corrections: -0.39 eV/atom

Unit cell a=3.3756 b=5.3247 c=5.3247 alpha=90.00 beta=90.00 gamma=90.00
Sites, in units of the cell vectors:
Pb (0.5000, 0.5000, 0.5000)
Y (0.0000, 0.0000, 0.5000)
Y (0.0000, 0.5000, 0.0000)
B (0.0000, 0.0000, 0.0000)
O (0.5000, 0.0000, 0.0000)

# 2
Compound: Ce2Bi
Source: Alexandria via LeMat-Bulk
Functional: meta-GGA SCAN
Structure: PBEsol geometry

## Properties
DFT total energy: -339.45 eV per cell
DOS at the Fermi energy: 6.12 states/eV/f.u.

Unit cell a=4.4501 b=4.4501 c=9.3350 alpha=103.79 beta=103.79 gamma=90.00
Sites, in units of the cell vectors:
Ce (0.0000, 0.5000, 0.0000)
Ce (0.5000, 0.0000, 0.0000)
Ce (0.3249, 0.3249, 0.6499)
Ce (0.6751, 0.6751, 0.3501)
Bi (0.1389, 0.1389, 0.2779)
Bi (0.8611, 0.8611, 0.7221)

# 3
Compound: Rb2NaCaCr
Source: Alexandria via LeMat-Bulk
Functional: meta-GGA SCAN
Structure: PBEsol geometry

## Properties
DFT total energy: -70.12 eV per cell
DOS at the Fermi energy: 3.89 states/eV/f.u.

Unit cell a=5.7482 b=7.4384 c=7.4384 alpha=90.00 beta=90.00 gamma=90.00
Sites, in units of the cell vectors:
Cr (0.5000, 0.0000, 0.0000)
Ca (0.0000, 0.0000, 0.0000)
Rb (0.0000, 0.0000, 0.5000)
Rb (0.0000, 0.5000, 0.0000)
Na (0.5000, 0.5000, 0.5000)

# 4
Compound: KIn2SeO
Source: Alexandria via LeMat-Bulk
Functional: meta-GGA SCAN
Structure: PBEsol geometry

## Properties
DFT total energy: -101.56 eV per cell
DOS at the Fermi energy: 2.55 states/eV/f.u.
Formation energy without anion corrections: -0.03 eV/atom

Unit cell a=3.9522 b=5.8742 c=5.8742 alpha=90.00 beta=90.00 gamma=90.00
Sites, in units of the cell vectors:
K (0.5000, 0.5000, 0.5000)
O (0.5000, 0.0000, 0.0000)
Se (0.0000, 0.0000, 0.0000)
In (0.0000, 0.0000, 0.5000)
In (0.0000, 0.5000, 0.0000)

# 5
Compound: LaAlTe2
Source: Alexandria via LeMat-Bulk
Functional: meta-GGA SCAN
Structure: PBEsol geometry

## Properties
DFT total energy: -128.42 eV per cell
DOS at the Fermi energy: 1.47 states/eV/f.u.
Formation energy without anion corrections: -0.76 eV/atom

Unit cell a=3.9144 b=3.9144 c=7.1658 alpha=90.00 beta=90.00 gamma=90.00
Sites, in units of the cell vectors:
Te (0.0000, 0.0000, 0.7510)
Te (0.0000, 0.0000, 0.2490)
Al (0.5000, 0.5000, 0.0000)
La (0.5000, 0.5000, 0.5000)

# 6
Compound: AgAu2Cl
Source: Alexandria via LeMat-Bulk
Functional: meta-GGA SCAN
Structure: PBEsol geometry

## Properties
Polymorph energy (0 for the lowest one): 94.1 meV/atom
DFT total energy: -177.31 eV per cell
DOS at the Fermi energy: 0.51 states/eV/f.u.
Formation energy without anion corrections: 0.09 eV/atom

Unit cell a=3.3927 b=3.3927 c=6.2432 alpha=90.00 beta=90.00 gamma=90.00
Sites, in units of the cell vectors:
Au (0.0000, 0.0000, 0.7266)
Au (0.0000, 0.0000, 0.2734)
Ag (0.5000, 0.5000, 0.5000)
Cl (0.5000, 0.5000, 0.0000)